# 1
The following is a PBE-GGA calculation of an optimized crystal structure of U2Al9Cu, from Alexandria via LeMat-Bulk.

Results
Formation energy   -0.062 eV per atom
Size of the total moment   4.7 μB per formula unit

Structure (extended XYZ):
```
12
Lattice="4.2097 0.0000 0.0000 0.0000 4.2097 0.0000 0.0000 0.0000 12.1819" Properties=species:S:1:pos:R:3 pbc="T T T"
U 0.0000 0.0000 2.1505
U 0.0000 0.0000 10.0315
Al 0.0000 2.1049 0.0000
Al 0.0000 2.1049 4.3268
Al 0.0000 2.1049 7.8552
Al 2.1049 0.0000 0.0000
Al 2.1049 0.0000 4.3268
Al 2.1049 0.0000 7.8552
Al 2.1049 2.1049 2.1216
Al 2.1049 2.1049 6.0910
Al 2.1049 2.1049 10.0603
Cu 0.0000 0.0000 6.0910
```

# 2
The following is a PBE-GGA calculation of an optimized crystal structure of Pm3Cd2Ru, from Alexandria via LeMat-Bulk.

Results
E above lowest polymorph   24 meV/atom
Formation energy   -0.259 eV per atom
Size of the total moment   0.0 μB per formula unit

Structure (extended XYZ):
```
12
Lattice="5.4246 0.0000 0.0000 -0.0112 7.1098 0.0000 -2.6970 -3.5489 8.4350" Properties=species:S:1:pos:R:3 pbc="T T T"
Pm -2.6942 -1.7714 8.4349
Pm 0.0091 0.0043 6.1833
Pm 0.0036 3.5590 6.1833
Pm 2.7129 0.0019 2.2516
Pm 2.7073 3.5566 2.2516
Pm 5.4106 5.3323 0.0000
Cd -0.0001 1.7781 3.3440
Cd -0.0050 5.3331 3.3440
Cd 2.7215 -1.7722 5.0909
Cd 2.7166 1.7828 5.0910
Ru 0.0015 1.7835 8.4349
Ru 2.7150 1.7774 0.0000
```

# 3
The following is a PBE-GGA calculation of an optimized crystal structure of KBeP2, from Alexandria via LeMat-Bulk.

Results
Formation energy   0.866 eV per atom
Size of the total moment   0.0 μB per formula unit

Structure (extended XYZ):
```
8
Lattice="4.1461 0.0000 0.0000 0.0000 4.1461 0.0000 0.0000 0.0000 8.5465" Properties=species:S:1:pos:R:3 pbc="T T T"
K 0.0000 0.0000 0.0000
K 2.0731 2.0731 4.2733
Be 0.0000 2.0731 2.1366
Be 2.0731 0.0000 6.4099
P 0.0000 0.0000 4.2733
P 0.0000 2.0731 6.4099
P 2.0731 0.0000 2.1366
P 2.0731 2.0731 0.0000
```

# 4
The following is a PBE-GGA calculation of an optimized crystal structure of YSbIr3, from Alexandria via LeMat-Bulk.

Results
E above lowest polymorph   1095 meV/atom
Size of the total moment   1.0 μB per formula unit
Energy relative to the elements, uncorrected   1.774 eV per atom

Structure (extended XYZ):
```
5
Lattice="4.9937 0.0000 0.0000 0.0000 4.9937 0.0000 0.0000 0.0000 4.9937" Properties=species:S:1:pos:R:3 pbc="T T T"
Y 0.0000 0.0000 0.0000
Sb 2.4968 2.4968 2.4968
Ir 0.0000 0.0000 2.4968
Ir 0.0000 2.4968 0.0000
Ir 2.4968 0.0000 0.0000
```

# 5
The following is a PBE-GGA calculation of an optimized crystal structure of Tb6Tl2C, from Alexandria via LeMat-Bulk.

Results
E above lowest polymorph   0 meV/atom
Formation energy   -0.337 eV per atom
Size of the total moment   0.0 μB per formula unit

Structure (extended XYZ):
```
9
Lattice="0.0000 4.9321 4.9321 4.9321 0.0000 4.9321 4.9321 4.9321 0.0000" Properties=species:S:1:pos:R:3 pbc="T T T"
Tb 4.9321 4.9321 2.4182
Tb 4.9321 2.4182 4.9321
Tb 7.4460 4.9321 4.9321
Tb 2.4182 4.9321 4.9321
Tb 4.9321 7.4460 4.9321
Tb 4.9321 4.9321 7.4460
Tl 2.4661 2.4661 2.4661
Tl 7.3982 7.3982 7.3982
C 0.0000 0.0000 0.0000
```

# 6
The following is a PBE-GGA calculation of an optimized crystal structure of Pr12NdDy3, from Alexandria via LeMat-Bulk.

Results
Formation energy   0.012 eV per atom
Size of the total moment   0.0 μB per formula unit

Structure (extended XYZ):
```
16
Lattice="5.2054 0.0000 0.0000 0.0000 5.2054 0.0000 0.0000 0.0000 20.7763" Properties=species:S:1:pos:R:3 pbc="T T T"
Pr 0.0000 0.0000 0.0000
Pr 0.0000 0.0000 5.1589
Pr 0.0000 0.0000 10.3882
Pr 0.0000 0.0000 15.6174
Pr 0.0000 2.6027 2.5840
Pr 0.0000 2.6027 7.7545
Pr 0.0000 2.6027 13.0218
Pr 0.0000 2.6027 18.1923
Pr 2.6027 0.0000 2.5840
Pr 2.6027 0.0000 7.7545
Pr 2.6027 0.0000 13.0218
Pr 2.6027 0.0000 18.1923
Nd 2.6027 2.6027 10.3882
Dy 2.6027 2.6027 0.0000
Dy 2.6027 2.6027 5.1662
Dy 2.6027 2.6027 15.6102
```

# 7
The following is a PBE-GGA calculation of an optimized crystal structure of SiPd4Au, from Alexandria via LeMat-Bulk.

Results
E above lowest polymorph   0 meV/atom
Size of the total moment   0.0 μB per formula unit
Energy relative to the elements, uncorrected   -0.369 eV per atom

Structure (extended XYZ):
```
24
Lattice="7.5542 0.0000 0.0000 0.0000 2.8909 0.0000 0.0000 0.0000 17.1611" Properties=species:S:1:pos:R:3 pbc="T T T"
Si 1.4431 0.7227 1.2203
Si 2.3340 2.1682 9.8008
Si 5.2202 0.7227 7.3603
Si 6.1111 2.1682 15.9408
Pd 0.4168 0.7227 9.6681
Pd 0.4642 2.1682 2.8783
Pd 0.9285 2.1682 12.0659
Pd 1.0793 2.1682 16.3977
Pd 2.6978 0.7227 7.8172
Pd 2.8486 0.7227 3.4854
Pd 3.3129 0.7227 11.4588
Pd 3.3603 2.1682 1.0875
Pd 4.1939 0.7227 16.0735
Pd 4.2412 2.1682 5.7023
Pd 4.7056 2.1682 13.6757
Pd 4.8564 2.1682 9.3439
Pd 6.4749 0.7227 0.7633
Pd 6.6257 0.7227 5.0951
Pd 7.0900 0.7227 14.2828
Pd 7.1374 2.1682 7.4930
Au 1.4995 2.1682 5.5444
Au 2.2776 0.7227 14.1249
Au 5.2766 2.1682 3.0361
Au 6.0547 0.7227 11.6167
```

# 8
The following is a PBE-GGA calculation of an optimized crystal structure of AcPtBr, from Alexandria via LeMat-Bulk.

Results
E above lowest polymorph   1 meV/atom
Size of the total moment   0.0 μB per formula unit
Energy relative to the elements, uncorrected   -1.505 eV per atom

Structure (extended XYZ):
```
12
Lattice="7.8602 0.0000 0.0000 0.0000 4.5401 0.0000 -0.2824 0.0000 11.4882" Properties=species:S:1:pos:R:3 pbc="T T T"
Ac 0.0007 0.0000 2.0201
Ac 3.6470 2.2701 9.4681
Ac 3.9308 2.2701 2.0201
Ac 7.5771 0.0000 9.4681
Pt 1.0278 2.2701 11.1084
Pt 2.6199 0.0000 0.3798
Pt 4.9579 0.0000 11.1084
Pt 6.5500 2.2701 0.3798
Br 1.3101 2.2701 3.9411
Br 2.3376 0.0000 7.5471
Br 5.2402 0.0000 3.9411
Br 6.2677 2.2701 7.5471
```

# 9
The following is a PBE-GGA calculation of an optimized crystal structure of LiLaSb, from Alexandria via LeMat-Bulk.

Results
E above lowest polymorph   0 meV/atom
Size of the total moment   0.0 μB per formula unit
Energy relative to the elements, uncorrected   -0.930 eV per atom

Structure (extended XYZ):
```
6
Lattice="4.7513 0.0000 0.0000 -2.3757 4.1148 0.0000 0.0000 0.0000 7.9513" Properties=species:S:1:pos:R:3 pbc="T T T"
Li 0.0000 2.7432 1.9878
Li 2.3757 1.3716 5.9635
La 0.0000 0.0000 0.0000
La 0.0000 0.0000 3.9757
Sb 0.0000 2.7432 5.9635
Sb 2.3757 1.3716 1.9878
```

# 10
The following is a PBE-GGA calculation of an optimized crystal structure of CaSi, from Alexandria via LeMat-Bulk.

Results
Size of the total moment   0.0 μB per formula unit
Energy relative to the elements, uncorrected   -0.269 eV per atom

Structure (extended XYZ):
```
4
Lattice="4.8591 0.0000 0.0000 -2.4295 4.2081 0.0000 0.0000 0.0000 5.0528" Properties=species:S:1:pos:R:3 pbc="T T T"
Ca 0.0000 2.8054 1.2632
Ca 2.4295 1.4027 3.7896
Si 0.0000 0.0000 0.0000
Si 0.0000 0.0000 2.5264
```

# 11
The following is a PBE-GGA calculation of an optimized crystal structure of K2RbCo2, from Alexandria via LeMat-Bulk.

Results
E above lowest polymorph   505 meV/atom
Formation energy   1.171 eV per atom
Size of the total moment   3.2 μB per formula unit

Structure (extended XYZ):
```
10
Lattice="10.2378 0.0000 0.0000 0.0000 10.2378 0.0000 0.0000 0.0000 3.1328" Properties=species:S:1:pos:R:3 pbc="T T T"
K 1.3076 3.8112 0.0000
K 3.8112 8.9301 0.0000
K 6.4265 1.3076 0.0000
K 8.9301 6.4265 0.0000
Rb 0.0000 0.0000 0.0000
Rb 5.1189 5.1189 0.0000
Co 1.7386 6.8575 1.5664
Co 3.3803 1.7386 1.5664
Co 6.8575 8.4992 1.5664
Co 8.4992 3.3803 1.5664
```

# 12
The following is a PBE-GGA calculation of an optimized crystal structure of CaTmPt4, from Alexandria via LeMat-Bulk.

Results
Formation energy   -1.026 eV per atom
Size of the total moment   0.0 μB per formula unit

Structure (extended XYZ):
```
6
Lattice="0.0000 3.8372 3.8372 3.8372 0.0000 3.8372 3.8372 3.8372 0.0000" Properties=species:S:1:pos:R:3 pbc="T T T"
Ca 0.0000 0.0000 0.0000
Tm 1.9186 1.9186 1.9186
Pt 4.7965 2.8778 2.8778
Pt 2.8778 4.7965 2.8778
Pt 2.8778 2.8778 4.7965
Pt 4.7965 4.7965 4.7965
```